[1]
# Mg2Cd3Hg3

An optimized crystal structure of Mg2Cd3Hg3 (PBE-GGA, the Alexandria database).

Structure (POSCAR):
```
Mg2Cd3Hg3
1.0
4.5887 0.0000 0.0000
0.0000 4.5760 0.0000
0.0000 0.0000 8.5383
Cd Hg Mg
3 3 2
direct
0.5000 0.0000 0.0000
0.5000 0.5000 0.7531
0.5000 0.5000 0.2469
0.5000 0.0000 0.5000
0.0000 0.5000 0.0000
0.0000 0.5000 0.5000
0.0000 0.0000 0.2558
0.0000 0.0000 0.7442
```

Summary:
* magnetization: 0.0 μB/cell
* E_tot: -0.94 eV/atom

[2]
# BaNiP2

An optimized crystal structure of BaNiP2 (PBE-GGA, the Alexandria database).

Structure (POSCAR):
```
BaNiP2
1.0
-2.0073 -0.1060 4.4750
-3.9488 -2.7834 0.8517
0.3911 -4.0307 2.7689
Ni Ba P
1 1 2
direct
0.0000 0.0000 0.0000
0.5000 0.5000 0.5000
0.7500 0.7500 0.7500
0.2500 0.2500 0.2500
```

Summary:
* magnetization: 0.0 μB/cell
* E_tot: -4.32 eV/atom

[3]
# Hf2Cu2I

An optimized crystal structure of Hf2Cu2I (PBE-GGA, the Alexandria database).

Structure (POSCAR):
```
Hf2Cu2I
1.0
7.5151 0.0000 0.0000
0.0000 7.5151 0.0000
0.0000 0.0000 3.5399
Hf Cu I
4 4 2
direct
0.6562 0.1562 0.0000
0.1562 0.3438 0.0000
0.3438 0.8438 0.0000
0.8438 0.6562 0.0000
0.6248 0.8752 0.5000
0.3752 0.1248 0.5000
0.8752 0.3752 0.5000
0.1248 0.6248 0.5000
0.5000 0.5000 0.0000
0.0000 0.0000 0.0000
```

Summary:
* magnetization: 0.0 μB/cell
* uncorrected formation energy: 157 meV per atom
* E_tot: -5.77 eV/atom
* offset from the most stable computed form: 0.0 kJ/mol of formula units

[4]
# B2C

An optimized crystal structure of B2C (PBE-GGA, the Alexandria database).

Structure (POSCAR):
```
B2C
1.0
3.3652 1.0006 0.2973
-0.6057 5.2555 -0.3422
0.1197 -2.4984 4.9892
C B
4 8
direct
0.7537 0.6074 0.1466
0.9033 0.6436 0.9203
0.2335 0.1099 0.2913
0.4917 0.4239 0.0973
0.5491 0.2347 0.5246
0.6291 0.6284 0.6712
0.2414 0.9014 0.6916
0.1592 0.8864 0.9889
0.8842 0.7406 0.4547
0.0419 0.0872 0.5312
0.3574 0.4045 0.3453
0.2556 0.3321 0.8370
```

Summary:
* magnetization: 0.0 μB/cell
* E_tot: -7.04 eV/atom
* offset from the most stable computed form: 86.4 kJ/mol of formula units

[5]
# BeBiTeN2

An optimized crystal structure of BeBiTeN2 (PBE-GGA, the Alexandria database).

Structure (POSCAR):
```
BeBiTeN2
1.0
4.1997 0.0000 0.0000
0.0000 4.1997 0.0000
0.0000 0.0000 6.7260
Be Bi Te N
1 1 1 2
direct
0.5000 0.5000 0.5000
0.0000 0.0000 0.0000
0.0000 0.0000 0.5000
0.5000 0.0000 0.0000
0.0000 0.5000 0.0000
```

Summary:
* magnetization: 1.5 μB/cell
* uncorrected formation energy: 1800 meV per atom
* E_tot: -3.68 eV/atom
* offset from the most stable computed form: 189.9 kJ/mol of formula units

[6]
# TlInTe2

An optimized crystal structure of TlInTe2 (PBE-GGA, the Alexandria database).

Structure (POSCAR):
```
TlInTe2
1.0
-2.8514 -5.6563 -0.0471
0.8317 -0.3931 -3.1429
5.3262 -2.6995 1.7513
Te Tl In
2 1 1
direct
0.5000 0.2166 0.3753
0.0000 0.8559 0.8748
0.0000 0.5053 0.3748
0.5000 0.9222 0.8752
```

Summary:
* magnetization: 0.0 μB/cell
* uncorrected formation energy: -148 meV per atom
* E_tot: -2.99 eV/atom

[7]
# LaSc3Al4

An optimized crystal structure of LaSc3Al4 (PBE-GGA, the Alexandria database).

Structure (POSCAR):
```
LaSc3Al4
1.0
-1.4489 -2.6926 -4.2184
4.2990 -4.8048 1.5903
-7.0243 -4.5293 5.3037
Al Sc La
8 6 2
direct
0.5000 0.7809 0.5000
0.8640 0.2202 0.2500
0.1360 0.7798 0.7500
0.5000 0.7809 0.0000
0.5000 0.2191 0.5000
0.1360 0.2202 0.7500
0.5000 0.2191 0.0000
0.8640 0.7798 0.2500
0.5891 0.5000 0.7500
0.0000 0.0000 0.5000
0.0000 0.0000 0.0000
0.6308 0.0000 0.7500
0.3692 0.0000 0.2500
0.4109 0.5000 0.2500
0.0000 0.5000 0.5000
0.0000 0.5000 0.0000
```

Summary:
* magnetization: 0.0 μB/cell
* E_tot: -5.25 eV/atom

[8]
# CaEr2Tl3S6

An optimized crystal structure of CaEr2Tl3S6 (PBE-GGA, the Alexandria database).

Structure (POSCAR):
```
CaEr2Tl3S6
1.0
-2.7165 4.4320 4.7350
-1.7286 -6.8137 0.1652
7.0490 -0.5135 2.7876
S Er Tl Ca
6 2 3 1
direct
0.7205 0.7205 0.2017
0.5845 0.9313 0.7944
0.9313 0.5845 0.7944
0.4155 0.0687 0.2056
0.2795 0.2795 0.7983
0.0687 0.4155 0.2056
0.3326 0.6674 0.0000
0.6674 0.3326 0.0000
0.8358 0.1642 0.5000
0.1642 0.8358 0.5000
0.5000 0.5000 0.5000
0.0000 0.0000 0.0000
```

Summary:
* magnetization: 0.0 μB/cell
* uncorrected formation energy: -1346 meV per atom
* E_tot: -4.93 eV/atom

[9]
# SrTl5In2

An optimized crystal structure of SrTl5In2 (PBE-GGA, the Alexandria database).

Structure (POSCAR):
```
SrTl5In2
1.0
8.5947 0.0000 0.0000
0.0000 8.5947 0.0000
-4.2973 -4.2973 6.8100
In Tl Sr
4 10 2
direct
0.6492 0.1492 0.0000
0.8508 0.6492 0.0000
0.3508 0.8508 0.0000
0.1492 0.3508 0.0000
0.2972 0.7972 0.3027
0.0055 0.5055 0.3027
0.7028 0.2028 0.6973
0.4945 0.7028 0.6973
0.5000 0.5000 0.0000
0.0000 0.0000 0.0000
0.9945 0.4945 0.6973
0.2028 0.9945 0.6973
0.7972 0.0055 0.3027
0.5055 0.2972 0.3027
0.2500 0.2500 0.5000
0.7500 0.7500 0.5000
```

Summary:
* magnetization: 0.0 μB/cell
* E_tot: -2.45 eV/atom

[10]
# PaAsH

An optimized crystal structure of PaAsH (PBE-GGA, the Alexandria database).

Structure (POSCAR):
```
PaAsH
1.0
-3.1536 0.5466 1.2915
-0.6172 -3.3950 -0.0702
3.5004 1.0457 3.4933
Pa H As
1 1 1
direct
0.6427 0.6427 0.2855
0.0403 0.0403 0.0806
0.3170 0.3170 0.6339
```

Summary:
* magnetization: 0.0 μB/cell
* E_tot: -6.12 eV/atom
* offset from the most stable computed form: 156.5 kJ/mol of formula units

[11]
# Li2Dy5Hg12

An optimized crystal structure of Li2Dy5Hg12 (PBE-GGA, the Alexandria database).

Structure (POSCAR):
```
Li2Dy5Hg12
1.0
8.6225 0.0000 0.0000
-4.3113 10.3305 -1.2640
0.0000 -4.6651 5.7132
Dy Hg Li
5 12 2
direct
0.7457 0.4913 0.0640
0.3095 0.6191 0.5645
0.0000 0.0000 0.5000
0.2543 0.5087 0.9360
0.6905 0.3809 0.4355
0.1028 0.2056 0.2992
0.6061 0.7690 0.4177
0.4664 0.9329 0.1672
0.6365 0.6838 0.9234
0.8371 0.2310 0.5823
0.1629 0.7690 0.4177
0.5336 0.0671 0.8328
0.0473 0.6838 0.9234
0.3635 0.3162 0.0766
0.9527 0.3162 0.0766
0.3939 0.2310 0.5823
0.8972 0.7944 0.7008
0.7465 0.0000 0.0000
0.2535 0.0000 0.0000
```

Summary:
* magnetization: 0.0 μB/cell
* E_tot: -1.93 eV/atom

[12]
# PrLuThZn

An optimized crystal structure of PrLuThZn (PBE-GGA, the Alexandria database).

Structure (POSCAR):
```
PrLuThZn
1.0
-4.7530 -2.2910 1.2002
-2.1125 -3.7347 -3.2969
-0.1915 -5.1806 1.5508
Lu Th Pr Zn
1 1 1 1
direct
0.5000 0.5000 0.5000
0.7500 0.7500 0.7500
0.2500 0.2500 0.2500
0.0000 0.0000 0.0000
```

Summary:
* magnetization: 0.0 μB/cell
* E_tot: -4.43 eV/atom